(1)
TlRuPbN2: optimized geometry, PBE. Values from VASP.

Quantum ESPRESSO input file:
```
&SYSTEM
  ibrav = 0, nat = 5, ntyp = 4
/
ATOMIC_SPECIES
Tl 204.38 Tl.upf
Ru 101.07 Ru.upf
Pb 207.20 Pb.upf
N 14.01 N.upf
CELL_PARAMETERS angstrom
4.238 0.000 0.000
0.000 4.238 0.000
0.000 0.000 6.523
ATOMIC_POSITIONS crystal
Tl 0.000 0.000 0.000
Ru 0.500 0.500 0.000
Pb 0.000 0.000 0.500
N 0.000 0.500 0.500
N 0.500 0.000 0.500
```

Output
energy relative to the elements, uncorrected	2271	meV per atom

(2)
Ta2AlPt: optimized geometry, PBE. Values from VASP.

Quantum ESPRESSO input file:
```
&SYSTEM
  ibrav = 0, nat = 4, ntyp = 3
/
ATOMIC_SPECIES
Ta 180.95 Ta.upf
Al 26.98 Al.upf
Pt 195.08 Pt.upf
CELL_PARAMETERS angstrom
2.861 0.000 0.000
0.000 2.861 0.000
0.000 0.000 8.099
ATOMIC_POSITIONS crystal
Ta 0.000 0.000 0.249
Ta 0.000 0.000 0.751
Al 0.500 0.500 0.000
Pt 0.500 0.500 0.500
```

Output
formation energy	-438	meV per atom

(3)
Hf3Sb2H: optimized geometry, PBE. Values from VASP.

Quantum ESPRESSO input file:
```
&SYSTEM
  ibrav = 0, nat = 12, ntyp = 3
/
ATOMIC_SPECIES
Hf 178.49 Hf.upf
Sb 121.76 Sb.upf
H 1.01 H.upf
CELL_PARAMETERS angstrom
6.369 -2.773 0.000
6.369 2.773 0.000
0.000 0.000 7.107
ATOMIC_POSITIONS crystal
Hf 0.146 0.854 0.500
Hf 0.262 0.487 0.847
Hf 0.487 0.262 0.347
Hf 0.513 0.738 0.847
Hf 0.738 0.513 0.347
Hf 0.854 0.146 0.000
Sb 0.036 0.283 0.697
Sb 0.283 0.036 0.197
Sb 0.717 0.964 0.697
Sb 0.964 0.717 0.197
H 0.416 0.584 0.680
H 0.584 0.416 0.180
```

Output
distance to the lowest polymorph of the same formula	178	meV per atom

(4)
Pr2GaSb: optimized geometry, PBE. Values from VASP.

Quantum ESPRESSO input file:
```
&SYSTEM
  ibrav = 0, nat = 4, ntyp = 3
/
ATOMIC_SPECIES
Pr 140.91 Pr.upf
Ga 69.72 Ga.upf
Sb 121.76 Sb.upf
CELL_PARAMETERS angstrom
2.177 1.257 7.696
-2.177 1.257 7.696
0.000 -2.513 7.696
ATOMIC_POSITIONS crystal
Pr 0.249 0.249 0.249
Pr 0.751 0.751 0.751
Ga 0.000 0.000 0.000
Sb 0.500 0.500 0.500
```

Output
energy relative to the elements, uncorrected	-730	meV per atom
distance to the lowest polymorph of the same formula	120	meV per atom

(5)
IrOsCl2: optimized geometry, PBE. Values from VASP.

Quantum ESPRESSO input file:
```
&SYSTEM
  ibrav = 0, nat = 4, ntyp = 3
/
ATOMIC_SPECIES
Ir 192.22 Ir.upf
Os 190.23 Os.upf
Cl 35.45 Cl.upf
CELL_PARAMETERS angstrom
6.203 -1.468 0.000
6.203 1.468 0.000
-0.550 0.000 4.745
ATOMIC_POSITIONS crystal
Ir 0.000 0.000 0.000
Os 0.500 0.500 0.500
Cl 0.137 0.137 0.713
Cl 0.863 0.863 0.287
```

Output
energy relative to the elements, uncorrected	633	meV per atom
distance to the lowest polymorph of the same formula	504	meV per atom

(6)
Y3Zr: optimized geometry, PBE. Values from VASP.

Quantum ESPRESSO input file:
```
&SYSTEM
  ibrav = 0, nat = 8, ntyp = 2
/
ATOMIC_SPECIES
Y 88.91 Y.upf
Zr 91.22 Zr.upf
CELL_PARAMETERS angstrom
7.085 0.000 0.000
-3.542 6.135 0.000
0.000 0.000 5.481
ATOMIC_POSITIONS crystal
Y 0.172 0.345 0.250
Y 0.172 0.828 0.250
Y 0.345 0.172 0.750
Y 0.655 0.828 0.250
Y 0.828 0.172 0.750
Y 0.828 0.655 0.750
Zr 0.333 0.667 0.750
Zr 0.667 0.333 0.250
```

Output
formation energy	75	meV per atom
distance to the lowest polymorph of the same formula	4	meV per atom

(7)
BaTmPtO6: optimized geometry, PBE. Values from VASP.

Quantum ESPRESSO input file:
```
&SYSTEM
  ibrav = 0, nat = 9, ntyp = 4
/
ATOMIC_SPECIES
Ba 137.33 Ba.upf
Tm 168.93 Tm.upf
Pt 195.08 Pt.upf
O 16.00 O.upf
CELL_PARAMETERS angstrom
5.579 0.000 0.000
-2.790 4.832 0.000
0.000 0.000 5.718
ATOMIC_POSITIONS crystal
Ba 0.000 0.000 0.000
Tm 0.333 0.667 0.500
Pt 0.667 0.333 0.500
O 0.391 0.035 0.697
O 0.391 0.356 0.303
O 0.644 0.035 0.303
O 0.644 0.609 0.697
O 0.965 0.356 0.697
O 0.965 0.609 0.303
```

Output
energy relative to the elements, uncorrected	-1675	meV per atom

(8)
RePt2SO: optimized geometry, PBE. Values from VASP.

Quantum ESPRESSO input file:
```
&SYSTEM
  ibrav = 0, nat = 5, ntyp = 4
/
ATOMIC_SPECIES
Re 186.21 Re.upf
Pt 195.08 Pt.upf
S 32.06 S.upf
O 16.00 O.upf
CELL_PARAMETERS angstrom
4.912 0.000 0.000
0.000 4.912 0.000
0.000 0.000 4.376
ATOMIC_POSITIONS crystal
Re 0.000 0.000 0.000
Pt 0.000 0.500 0.000
Pt 0.500 0.000 0.000
S 0.000 0.000 0.500
O 0.500 0.500 0.500
```

Output
energy relative to the elements, uncorrected	1411	meV per atom

Calculated density in Mg/m³, matching the order above: 7.7, 14.6, 10.3, 6.2, 8.7, 5.0, 6.4, 9.8
DFT total energy in eV/atom, matching the order above: -4.129, -8.811, -7.185, -4.907, -5.313, -6.910, -6.362, -5.312